Entry 1:
Entry from OQMD via LeMat-Bulk: a relaxed Cs2Dy4Cu4Te9 crystal (PBE).

Cell and atoms, written as CIF:
```
data_Cs2Dy4Cu4Te9
_chemical_formula_sum 'Cs4 Dy8 Cu8 Te18'
_symmetry_space_group_name_H-M 'C 1 2/m 1'
_symmetry_Int_Tables_number 12
_cell_length_a 15.6080
_cell_length_b 4.4019
_cell_length_c 17.7767
_cell_angle_alpha 90.00
_cell_angle_beta 108.11
_cell_angle_gamma 90.00
loop_
_symmetry_equiv_pos_as_xyz
'x,y,z'
'-x,-y,-z'
'-x,y,-z'
'x,-y,z'
'x+1/2,y+1/2,z'
'-x+1/2,-y+1/2,-z'
'-x+1/2,y+1/2,-z'
'x+1/2,-y+1/2,z'
loop_
_atom_site_label
_atom_site_fract_x
_atom_site_fract_y
_atom_site_fract_z
Cs1 0.0334 0.0000 0.2737
Dy1 0.1532 0.5000 0.5559
Dy2 0.2281 0.0000 0.0998
Cu1 0.0762 0.5000 0.9738
Cu2 0.2488 0.0000 0.7355
Te1 0.0000 0.0000 0.5000
Te2 0.1027 0.5000 0.1269
Te3 0.1364 0.0000 0.9223
Te4 0.1559 0.5000 0.7269
Te5 0.2050 0.5000 0.3995
```

Properties
As for the total energy: -163.14 eV/cell. For the volume, the calculation gives 30.55 A^3/atom.

Entry 2:
Entry from OQMD via LeMat-Bulk: a relaxed HfReAs2 crystal (PBE).

Cell and atoms, written as CIF:
```
data_HfReAs2
_chemical_formula_sum 'Hf4 Re4 As8'
_symmetry_space_group_name_H-M 'F -4 3 m'
_symmetry_Int_Tables_number 216
_symmetry_space_group_name_Hall 'F -4 2 3'
_cell_length_a 6.5218
_cell_length_b 6.5218
_cell_length_c 6.5218
_cell_angle_alpha 90.00
_cell_angle_beta 90.00
_cell_angle_gamma 90.00
loop_
_atom_site_label
_atom_site_fract_x
_atom_site_fract_y
_atom_site_fract_z
Hf1 0.0000 0.0000 0.0000
Re1 0.2500 0.2500 0.7500
As1 0.0000 0.0000 0.5000
As2 0.2500 0.2500 0.2500
```

Properties
As for the total energy: -124.11 eV/cell. For the volume, the calculation gives 17.34 A^3/atom.

Entry 3:
Entry from OQMD via LeMat-Bulk: a relaxed KMgFeTc crystal (PBE).

Cell and atoms, written as CIF:
```
data_KMgFeTc
_chemical_formula_sum 'K4 Mg4 Fe4 Tc4'
_symmetry_space_group_name_H-M 'F -4 3 m'
_symmetry_Int_Tables_number 216
_symmetry_space_group_name_Hall 'F -4 2 3'
_cell_length_a 6.4882
_cell_length_b 6.4882
_cell_length_c 6.4882
_cell_angle_alpha 90.00
_cell_angle_beta 90.00
_cell_angle_gamma 90.00
loop_
_atom_site_label
_atom_site_fract_x
_atom_site_fract_y
_atom_site_fract_z
K1 0.0000 0.0000 0.0000
Mg1 0.2500 0.2500 0.2500
Fe1 0.0000 0.0000 0.5000
Tc1 0.2500 0.2500 0.7500
```

Properties
As for the total energy: -65.14 eV/cell. For the volume, the calculation gives 17.07 A^3/atom.

Entry 4:
Entry from OQMD via LeMat-Bulk: a relaxed CoW crystal (PBE).

Cell and atoms, written as CIF:
```
data_CoW
_chemical_formula_sum 'Co12 W12'
_symmetry_space_group_name_H-M 'P 63/m m c'
_symmetry_Int_Tables_number 194
_symmetry_space_group_name_Hall '-P 6c 2c'
_cell_length_a 4.8197
_cell_length_b 4.8197
_cell_length_c 15.6415
_cell_angle_alpha 90.00
_cell_angle_beta 90.00
_cell_angle_gamma 120.00
loop_
_atom_site_label
_atom_site_fract_x
_atom_site_fract_y
_atom_site_fract_z
Co1 0.0000 0.5000 0.0000
Co2 0.1581 0.3162 0.2500
W1 0.0000 0.0000 0.0862
W2 0.3333 0.6667 0.1281
W3 0.3333 0.6667 0.6577
```

Properties
As for the total energy: -239.99 eV/cell. For the volume, the calculation gives 13.11 A^3/atom. For the formation energy, the calculation gives 34 meV per atom.

Entry 5:
Entry from OQMD via LeMat-Bulk: a relaxed K2RbSb2Au3 crystal (PBE).

Cell and atoms, written as CIF:
```
data_K2RbSb2Au3
_chemical_formula_sum 'K6 Rb3 Sb6 Au9'
_symmetry_space_group_name_H-M 'R -3 m'
_symmetry_Int_Tables_number 166
_symmetry_space_group_name_Hall '-R 3 2"'
_cell_length_a 6.4248
_cell_length_b 6.4248
_cell_length_c 21.8574
_cell_angle_alpha 90.00
_cell_angle_beta 90.00
_cell_angle_gamma 120.00
loop_
_atom_site_label
_atom_site_fract_x
_atom_site_fract_y
_atom_site_fract_z
K1 0.0000 0.0000 0.0806
Rb1 0.0000 0.0000 0.5000
Sb1 0.0000 0.0000 0.2435
Au1 0.0000 0.5000 0.0000
```

Properties
As for the total energy: -75.26 eV/cell. For the volume, the calculation gives 32.56 A^3/atom.

Entry 6:
Entry from OQMD via LeMat-Bulk: a relaxed WBr4 crystal (PBE).

Cell and atoms, written as CIF:
```
data_WBr4
_chemical_formula_sum 'W4 Br16'
_symmetry_space_group_name_H-M 'C 1 2/c 1'
_symmetry_Int_Tables_number 15
_cell_length_a 12.6239
_cell_length_b 5.6639
_cell_length_c 11.2089
_cell_angle_alpha 90.00
_cell_angle_beta 116.53
_cell_angle_gamma 90.00
loop_
_symmetry_equiv_pos_as_xyz
'x,y,z'
'-x,-y,-z'
'-x,y,-z+1/2'
'x,-y,z+1/2'
'x+1/2,y+1/2,z'
'-x+1/2,-y+1/2,-z'
'-x+1/2,y+1/2,-z+1/2'
'x+1/2,-y+1/2,z+1/2'
loop_
_atom_site_label
_atom_site_fract_x
_atom_site_fract_y
_atom_site_fract_z
W1 0.0000 0.2422 0.2500
Br1 0.1241 0.0022 0.4357
Br2 0.1246 0.4836 0.1905
```

Properties
As for the total energy: -83.95 eV/cell. For the volume, the calculation gives 35.85 A^3/atom.

Entry 7:
Entry from OQMD via LeMat-Bulk: a relaxed FeH20PbC14IBr2N crystal (PBE).

Cell and atoms, written as CIF:
```
data_FeH20PbC14IBr2N
_chemical_formula_sum 'Fe4 H80 Pb4 C56 I4 Br8 N4'
_symmetry_space_group_name_H-M 'C 1 2 1'
_symmetry_Int_Tables_number 5
_cell_length_a 24.7786
_cell_length_b 9.8761
_cell_length_c 7.8492
_cell_angle_alpha 90.00
_cell_angle_beta 92.23
_cell_angle_gamma 90.00
loop_
_symmetry_equiv_pos_as_xyz
'x,y,z'
'-x,y,-z'
'x+1/2,y+1/2,z'
'-x+1/2,y+1/2,-z'
loop_
_atom_site_label
_atom_site_fract_x
_atom_site_fract_y
_atom_site_fract_z
Fe1 0.2456 0.0000 0.2456
H1 0.0244 0.1968 0.6622
H2 0.0304 0.3484 0.8842
H3 0.0439 0.3593 0.5780
H4 0.0764 0.2066 0.5097
H5 0.0818 0.2779 0.0249
H6 0.0855 0.0709 0.8394
H7 0.0909 0.4404 0.9300
H8 0.1258 0.4585 0.6596
H9 0.1395 0.0975 0.2675
H10 0.1404 0.0914 0.6993
H11 0.1480 0.1441 0.9184
H12 0.1571 0.3117 0.5745
H13 0.1701 0.5628 0.9678
H14 0.1771 0.9194 0.5028
H15 0.1797 0.8274 0.0371
H16 0.1922 0.7046 0.5986
H17 0.2185 0.4865 0.4121
H18 0.2201 0.2763 0.2047
H19 0.2296 0.0380 0.8893
H20 0.2502 0.2199 0.7252
Pb1 0.0000 0.7711 0.0000
Pb2 0.0000 0.7834 0.5000
C1 0.0578 0.2581 0.6166
C2 0.0740 0.3392 0.9106
C3 0.1199 0.1347 0.8079
C4 0.1450 0.3612 0.6923
C5 0.1795 0.1006 0.3296
C6 0.1923 0.3794 0.8125
C7 0.1994 0.0051 0.4545
C8 0.1994 0.4850 0.9387
C9 0.2210 0.8601 0.0646
C10 0.2219 0.1945 0.2973
C11 0.2318 0.6572 0.5985
C12 0.2419 0.3028 0.8114
C13 0.2456 0.5403 0.5007
C14 0.2473 0.9718 0.9863
I1 0.0624 0.5652 0.2779
Br1 0.0394 0.9941 0.2347
Br2 0.0937 0.7582 0.7627
N1 0.0993 0.2725 0.7594
```

Properties
As for the total energy: -909.49 eV/cell. For the volume, the calculation gives 12.00 A^3/atom.

Entry 8:
Entry from OQMD via LeMat-Bulk: a relaxed ThFeAu crystal (PBE).

Cell and atoms, written as CIF:
```
data_ThFeAu
_chemical_formula_sum 'Th4 Fe4 Au4'
_symmetry_space_group_name_H-M 'F -4 3 m'
_symmetry_Int_Tables_number 216
_symmetry_space_group_name_Hall 'F -4 2 3'
_cell_length_a 6.4217
_cell_length_b 6.4217
_cell_length_c 6.4217
_cell_angle_alpha 90.00
_cell_angle_beta 90.00
_cell_angle_gamma 90.00
loop_
_atom_site_label
_atom_site_fract_x
_atom_site_fract_y
_atom_site_fract_z
Th1 0.0000 0.0000 0.0000
Fe1 0.2500 0.2500 0.7500
Au1 0.0000 0.0000 0.5000
```

Properties
As for the total energy: -76.07 eV/cell. For the volume, the calculation gives 22.07 A^3/atom. For the formation energy, the calculation gives -9 meV per atom.

Entry 9:
Entry from OQMD via LeMat-Bulk: a relaxed TbDy2Tl3AgPt2 crystal (PBE).

Cell and atoms, written as CIF:
```
data_TbDy2Tl3AgPt2
_chemical_formula_sum 'Tb2 Dy4 Tl6 Ag2 Pt4'
_symmetry_space_group_name_H-M 'A m m 2'
_symmetry_Int_Tables_number 38
_cell_length_a 3.7747
_cell_length_b 13.7518
_cell_length_c 7.9309
_cell_angle_alpha 90.00
_cell_angle_beta 90.00
_cell_angle_gamma 90.00
loop_
_symmetry_equiv_pos_as_xyz
'x,y,z'
'-x,-y,z'
'-x,y,z'
'x,-y,z'
'x,y+1/2,z+1/2'
'-x,-y+1/2,z+1/2'
'-x,y+1/2,z+1/2'
'x,-y+1/2,z+1/2'
loop_
_atom_site_label
_atom_site_fract_x
_atom_site_fract_y
_atom_site_fract_z
Tb1 0.0000 0.0000 0.0000
Dy1 0.0000 0.2052 0.3846
Tl1 0.5000 0.0000 0.3197
Tl2 0.5000 0.1352 0.7247
Ag1 0.0000 0.0000 0.5896
Pt1 0.5000 0.1671 0.0900
```

Properties
As for the total energy: -83.65 eV/cell. For the volume, the calculation gives 22.87 A^3/atom.